Run A
VASP calculation (PBE) on a relaxed AlTc2AsP crystal.

Density of states at the Fermi level = 6.13 states/eV/cell

Lattice parameters (Å, degrees): 4.597 4.597 4.547 90.00 90.00 90.00
Sites, in units of the cell vectors:
Al1 0.000 0.000 0.000
Tc1 0.000 0.500 0.500
Tc2 0.500 0.000 0.500
As1 0.000 0.000 0.500
P1 0.500 0.500 0.000


Run B
VASP calculation (PBE) on a relaxed AlTc2AsP crystal.

Density of states at the Fermi level = 4.72 states/eV/cell

Lattice parameters (Å, degrees): 4.633 4.633 4.493 90.00 90.00 90.00
Sites, in units of the cell vectors:
Al1 0.000 0.000 0.000
Tc1 0.000 0.500 0.500
Tc2 0.500 0.000 0.500
As1 0.500 0.500 0.500
P1 0.500 0.500 0.000


Which of them is the most stable, and which is the least stable? run B and run A, in that order.


Run A
VASP calculation (PBE) on a relaxed AlAsPb2 crystal.

Density of states at the Fermi level = 13.08 states/eV/cell

Lattice parameters (Å, degrees): 7.428 7.428 7.428 90.00 90.00 90.00
Sites, in units of the cell vectors:
Al1 0.000 0.000 0.000
Al2 0.000 0.500 0.500
Al3 0.500 0.000 0.500
Al4 0.500 0.500 0.000
As1 0.250 0.250 0.250
As2 0.250 0.750 0.750
As3 0.750 0.250 0.750
As4 0.750 0.750 0.250
Pb1 0.000 0.000 0.500
Pb2 0.000 0.500 0.000
Pb3 0.250 0.250 0.750
Pb4 0.250 0.750 0.250
Pb5 0.500 0.000 0.000
Pb6 0.500 0.500 0.500
Pb7 0.750 0.250 0.250
Pb8 0.750 0.750 0.750


Run B
VASP calculation (PBE) on a relaxed AlAsPb2 crystal.

Density of states at the Fermi level = 1.29 states/eV/cell

Lattice parameters (Å, degrees): 5.174 3.796 5.939 90.00 114.71 90.00
Sites, in units of the cell vectors:
Al1 0.000 0.000 0.000
As1 0.003 0.500 0.723
Pb1 0.366 0.000 0.546
Pb2 0.614 0.500 0.162


Run C
VASP calculation (PBE) on a relaxed AlAsPb2 crystal.

Density of states at the Fermi level = 3.90 states/eV/cell

Lattice parameters (Å, degrees): 4.362 5.106 9.314 90.00 90.00 90.00
Sites, in units of the cell vectors:
Al1 0.000 0.000 0.000
Al2 0.500 0.500 0.500
As1 0.000 0.000 0.500
As2 0.500 0.500 0.000
Pb1 0.000 0.500 0.239
Pb2 0.000 0.500 0.761
Pb3 0.500 0.000 0.261
Pb4 0.500 0.000 0.739


Run D
VASP calculation (PBE) on a relaxed AlAsPb2 crystal.

Density of states at the Fermi level = 3.29 states/eV/cell

Lattice parameters (Å, degrees): 4.434 4.434 10.484 90.00 90.00 90.00
Sites, in units of the cell vectors:
Al1 0.000 0.000 0.000
Al2 0.500 0.500 0.500
As1 0.000 0.500 0.750
As2 0.500 0.000 0.250
Pb1 0.000 0.000 0.500
Pb2 0.000 0.500 0.250
Pb3 0.500 0.000 0.750
Pb4 0.500 0.500 0.000


Which of them is the most stable, and which is the least stable? run B and run A, in that order.


Run A
VASP calculation (PBE) on a relaxed AlAsPb2 crystal.

Density of states at the Fermi level = 4.26 states/eV/cell

Lattice parameters (Å, degrees): 3.771 5.344 10.150 90.00 90.00 90.00
Sites, in units of the cell vectors:
Al1 0.000 0.000 0.000
Al2 0.500 0.500 0.500
As1 0.000 0.500 0.333
As2 0.500 0.000 0.833
Pb1 0.000 0.000 0.556
Pb2 0.000 0.500 0.764
Pb3 0.500 0.000 0.264
Pb4 0.500 0.500 0.056


Run B
VASP calculation (PBE) on a relaxed AlAsPb2 crystal.

Density of states at the Fermi level = 2.79 states/eV/cell

Lattice parameters (Å, degrees): 3.618 3.618 7.802 90.00 90.00 90.00
Sites, in units of the cell vectors:
Al1 0.000 0.000 0.000
As1 0.500 0.500 0.096
Pb1 0.000 0.000 0.395
Pb2 0.500 0.500 0.709


Run C
VASP calculation (PBE) on a relaxed AlAsPb2 crystal.

Density of states at the Fermi level = 2.57 states/eV/cell

Lattice parameters (Å, degrees): 5.597 5.597 3.254 90.00 90.00 90.00
Sites, in units of the cell vectors:
Al1 0.000 0.000 0.000
As1 0.500 0.500 0.000
Pb1 0.000 0.500 0.500
Pb2 0.500 0.000 0.500


Which of them is the most stable, and which is the least stable? run B and run C, in that order.


Run A
VASP calculation (PBE) on a relaxed AlAsPb2 crystal.

Density of states at the Fermi level = 1.73 states/eV/cell

Lattice parameters (Å, degrees): 3.870 3.870 6.881 90.00 90.00 90.00
Sites, in units of the cell vectors:
Al1 0.000 0.000 0.000
As1 0.000 0.000 0.500
Pb1 0.500 0.500 0.260
Pb2 0.500 0.500 0.740


Run B
VASP calculation (PBE) on a relaxed AlAsPb2 crystal.

Density of states at the Fermi level = 4.62 states/eV/cell

Lattice parameters (Å, degrees): 3.487 3.487 29.975 90.00 90.00 120.00
Sites, in units of the cell vectors:
Al1 0.000 0.000 0.000
Al2 0.333 0.667 0.667
Al3 0.667 0.333 0.333
As1 0.000 0.000 0.500
As2 0.333 0.667 0.167
As3 0.667 0.333 0.833
Pb1 0.000 0.000 0.245
Pb2 0.000 0.000 0.755
Pb3 0.333 0.667 0.422
Pb4 0.333 0.667 0.912
Pb5 0.667 0.333 0.088
Pb6 0.667 0.333 0.578


Run C
VASP calculation (PBE) on a relaxed AlAsPb2 crystal.

Density of states at the Fermi level = 1.09 states/eV/cell

Lattice parameters (Å, degrees): 6.446 6.446 12.958 90.00 90.00 90.00
Sites, in units of the cell vectors:
Al1 0.000 0.000 0.000
Al2 0.000 0.500 0.250
Al3 0.500 0.000 0.750
Al4 0.500 0.500 0.500
As1 0.000 0.000 0.500
As2 0.000 0.500 0.750
As3 0.500 0.000 0.250
As4 0.500 0.500 0.000
Pb1 0.245 0.250 0.125
Pb2 0.250 0.745 0.375
Pb3 0.250 0.755 0.875
Pb4 0.255 0.250 0.625
Pb5 0.745 0.750 0.625
Pb6 0.750 0.245 0.875
Pb7 0.750 0.255 0.375
Pb8 0.755 0.750 0.125


Which of them is the most stable, and which is the least stable? run C and run B, in that order.


Run A
VASP calculation (PBE) on a relaxed AlAsPb2 crystal.

Density of states at the Fermi level = 9.59 states/eV/cell

Lattice parameters (Å, degrees): 7.451 7.451 7.451 90.00 90.00 90.00
Sites, in units of the cell vectors:
Al1 0.000 0.000 0.000
Al2 0.000 0.500 0.500
Al3 0.500 0.000 0.500
Al4 0.500 0.500 0.000
As1 0.000 0.000 0.500
As2 0.000 0.500 0.000
As3 0.500 0.000 0.000
As4 0.500 0.500 0.500
Pb1 0.250 0.250 0.250
Pb2 0.250 0.250 0.750
Pb3 0.250 0.750 0.250
Pb4 0.250 0.750 0.750
Pb5 0.750 0.250 0.250
Pb6 0.750 0.250 0.750
Pb7 0.750 0.750 0.250
Pb8 0.750 0.750 0.750


Run B
VASP calculation (PBE) on a relaxed AlAsPb2 crystal.

Density of states at the Fermi level = 4.03 states/eV/cell

Lattice parameters (Å, degrees): 15.529 3.706 3.767 90.00 103.64 90.00
Sites, in units of the cell vectors:
Al1 0.000 0.000 0.000
Al2 0.500 0.500 0.000
As1 0.000 0.500 0.500
As2 0.500 0.000 0.500
Pb1 0.173 0.000 0.673
Pb2 0.327 0.500 0.327
Pb3 0.673 0.500 0.673
Pb4 0.827 0.000 0.327


Which of them is the most stable, and which is the least stable? run B and run A, in that order.


Run A
VASP calculation (PBE) on a relaxed Al2AsPb crystal.

Density of states at the Fermi level = 4.04 states/eV/cell

Lattice parameters (Å, degrees): 4.145 4.697 8.986 90.00 90.00 90.00
Sites, in units of the cell vectors:
Al1 0.000 0.000 0.000
Al2 0.000 0.500 0.212
Al3 0.500 0.000 0.212
Al4 0.500 0.500 0.000
As1 0.000 0.500 0.815
As2 0.500 0.000 0.815
Pb1 0.000 0.000 0.501
Pb2 0.500 0.500 0.501


Run B
VASP calculation (PBE) on a relaxed Al2AsPb crystal.

Density of states at the Fermi level = 0.41 states/eV/cell

Lattice parameters (Å, degrees): 3.817 4.098 6.722 90.00 90.08 90.00
Sites, in units of the cell vectors:
Al1 0.000 0.000 0.000
Al2 0.500 0.500 0.029
As1 0.501 0.000 0.260
Pb1 0.999 0.500 0.681


Which of them is the most stable, and which is the least stable? run B and run A, in that order.


Run A
VASP calculation (PBE) on a relaxed Al2AsPb crystal.

Density of states at the Fermi level = 4.41 states/eV/cell

Lattice parameters (Å, degrees): 3.765 3.765 22.128 90.00 90.00 120.00
Sites, in units of the cell vectors:
Al1 0.000 0.000 0.233
Al2 0.000 0.000 0.767
Al3 0.333 0.667 0.434
Al4 0.333 0.667 0.899
Al5 0.667 0.333 0.101
Al6 0.667 0.333 0.566
As1 0.000 0.000 0.500
As2 0.333 0.667 0.167
As3 0.667 0.333 0.833
Pb1 0.000 0.000 0.000
Pb2 0.333 0.667 0.667
Pb3 0.667 0.333 0.333


Run B
VASP calculation (PBE) on a relaxed Al2AsPb crystal.

Density of states at the Fermi level = 7.85 states/eV/cell

Lattice parameters (Å, degrees): 6.191 6.191 11.710 90.00 90.00 90.00
Sites, in units of the cell vectors:
Al1 0.211 0.250 0.125
Al2 0.250 0.711 0.375
Al3 0.250 0.789 0.875
Al4 0.289 0.250 0.625
Al5 0.711 0.750 0.625
Al6 0.750 0.211 0.875
Al7 0.750 0.289 0.375
Al8 0.789 0.750 0.125
As1 0.000 0.000 0.000
As2 0.000 0.500 0.250
As3 0.500 0.000 0.750
As4 0.500 0.500 0.500
Pb1 0.000 0.000 0.500
Pb2 0.000 0.500 0.750
Pb3 0.500 0.000 0.250
Pb4 0.500 0.500 0.000


Which of them is the most stable, and which is the least stable? run A and run B, in that order.


Run A
VASP calculation (PBE) on a relaxed Al2AsPb crystal.

Density of states at the Fermi level = 3.41 states/eV/cell

Lattice parameters (Å, degrees): 3.621 5.052 9.692 90.00 90.00 90.00
Sites, in units of the cell vectors:
Al1 0.000 0.000 0.000
Al2 0.000 0.500 0.258
Al3 0.500 0.000 0.758
Al4 0.500 0.500 0.500
As1 0.000 0.000 0.570
As2 0.500 0.500 0.070
Pb1 0.000 0.500 0.784
Pb2 0.500 0.000 0.284


Run B
VASP calculation (PBE) on a relaxed Al2AsPb crystal.

Density of states at the Fermi level = 7.02 states/eV/cell

Lattice parameters (Å, degrees): 3.364 3.364 28.181 90.00 90.00 120.00
Sites, in units of the cell vectors:
Al1 0.000 0.000 0.000
Al2 0.000 0.000 0.260
Al3 0.333 0.667 0.667
Al4 0.333 0.667 0.927
Al5 0.667 0.333 0.333
Al6 0.667 0.333 0.593
As1 0.000 0.000 0.535
As2 0.333 0.667 0.202
As3 0.667 0.333 0.869
Pb1 0.000 0.000 0.760
Pb2 0.333 0.667 0.427
Pb3 0.667 0.333 0.094


Run C
VASP calculation (PBE) on a relaxed Al2AsPb crystal.

Density of states at the Fermi level = 3.33 states/eV/cell

Lattice parameters (Å, degrees): 6.387 7.069 3.849 90.00 90.00 90.00
Sites, in units of the cell vectors:
Al1 0.250 0.250 0.000
Al2 0.250 0.750 0.000
Al3 0.750 0.250 0.000
Al4 0.750 0.750 0.000
As1 0.000 0.000 0.500
As2 0.500 0.500 0.500
Pb1 0.000 0.500 0.500
Pb2 0.500 0.000 0.500


Run D
VASP calculation (PBE) on a relaxed Al2AsPb crystal.

Density of states at the Fermi level = 4.25 states/eV/cell

Lattice parameters (Å, degrees): 4.295 4.295 9.682 90.00 90.00 90.00
Sites, in units of the cell vectors:
Al1 0.000 0.500 0.250
Al2 0.000 0.500 0.750
Al3 0.500 0.000 0.250
Al4 0.500 0.000 0.750
As1 0.000 0.000 0.000
As2 0.500 0.500 0.500
Pb1 0.000 0.000 0.500
Pb2 0.500 0.500 0.000


Which of them is the most stable, and which is the least stable? run B and run D, in that order.


Run A
VASP calculation (PBE) on a relaxed Al2AsPb crystal.

Density of states at the Fermi level = 1.25 states/eV/cell

Lattice parameters (Å, degrees): 4.684 4.684 3.982 90.00 90.00 90.00
Sites, in units of the cell vectors:
Al1 0.000 0.500 0.000
Al2 0.500 0.000 0.000
As1 0.000 0.000 0.500
Pb1 0.500 0.500 0.500


Run B
VASP calculation (PBE) on a relaxed Al2AsPb crystal.

Density of states at the Fermi level = 1.19 states/eV/cell

Lattice parameters (Å, degrees): 3.436 3.468 7.244 90.00 90.62 90.00
Sites, in units of the cell vectors:
Al1 0.002 0.000 0.191
Al2 0.998 0.000 0.809
As1 0.500 0.500 0.000
Pb1 0.500 0.500 0.500


Which of them is the most stable, and which is the least stable? run B and run A, in that order.


Run A
VASP calculation (PBE) on a relaxed Al2AsPb crystal.

Density of states at the Fermi level = 3.44 states/eV/cell

Lattice parameters (Å, degrees): 3.604 5.291 9.381 90.00 90.00 90.00
Sites, in units of the cell vectors:
Al1 0.000 0.000 0.209
Al2 0.000 0.000 0.791
Al3 0.500 0.500 0.291
Al4 0.500 0.500 0.709
As1 0.000 0.500 0.500
As2 0.500 0.000 0.000
Pb1 0.000 0.500 0.000
Pb2 0.500 0.000 0.500


Run B
VASP calculation (PBE) on a relaxed Al2AsPb crystal.

Density of states at the Fermi level = 1.00 states/eV/cell

Lattice parameters (Å, degrees): 3.632 3.632 6.982 90.00 90.00 90.00
Sites, in units of the cell vectors:
Al1 0.000 0.000 0.000
Al2 0.500 0.500 0.238
As1 0.000 0.000 0.354
Pb1 0.500 0.500 0.765


Run C
VASP calculation (PBE) on a relaxed Al2AsPb crystal.

Density of states at the Fermi level = 3.83 states/eV/cell

Lattice parameters (Å, degrees): 6.361 9.187 3.080 90.00 103.33 90.00
Sites, in units of the cell vectors:
Al1 0.250 0.250 0.000
Al2 0.250 0.750 0.000
Al3 0.750 0.250 0.000
Al4 0.750 0.750 0.000
As1 0.000 0.000 0.500
As2 0.500 0.500 0.500
Pb1 0.000 0.500 0.500
Pb2 0.500 0.000 0.500


Run D
VASP calculation (PBE) on a relaxed Al2AsPb crystal.

Density of states at the Fermi level = 10.37 states/eV/cell

Lattice parameters (Å, degrees): 7.080 7.080 7.080 90.00 90.00 90.00
Sites, in units of the cell vectors:
Al1 0.000 0.000 0.000
Al2 0.000 0.500 0.500
Al3 0.250 0.250 0.250
Al4 0.250 0.750 0.750
Al5 0.500 0.000 0.500
Al6 0.500 0.500 0.000
Al7 0.750 0.250 0.750
Al8 0.750 0.750 0.250
As1 0.250 0.250 0.750
As2 0.250 0.750 0.250
As3 0.750 0.250 0.250
As4 0.750 0.750 0.750
Pb1 0.000 0.000 0.500
Pb2 0.000 0.500 0.000
Pb3 0.500 0.000 0.000
Pb4 0.500 0.500 0.500


Which of them is the most stable, and which is the least stable? run B and run D, in that order.


Run A
VASP calculation (PBE) on a relaxed Al2AsPb2 crystal.

Density of states at the Fermi level = 6.57 states/eV/cell

Lattice parameters (Å, degrees): 4.618 4.618 12.395 90.00 90.00 90.00
Sites, in units of the cell vectors:
Al1 0.000 0.000 0.099
Al2 0.000 0.000 0.901
Al3 0.500 0.500 0.401
Al4 0.500 0.500 0.599
As1 0.000 0.000 0.500
As2 0.500 0.500 0.000
Pb1 0.000 0.500 0.250
Pb2 0.000 0.500 0.750
Pb3 0.500 0.000 0.250
Pb4 0.500 0.000 0.750


Run B
VASP calculation (PBE) on a relaxed Al2AsPb2 crystal.

Density of states at the Fermi level = 5.27 states/eV/cell

Lattice parameters (Å, degrees): 6.817 6.817 5.244 90.00 90.00 90.00
Sites, in units of the cell vectors:
Al1 0.139 0.361 0.000
Al2 0.361 0.861 0.000
Al3 0.639 0.139 0.000
Al4 0.861 0.639 0.000
As1 0.000 0.000 0.000
As2 0.500 0.500 0.000
Pb1 0.183 0.683 0.500
Pb2 0.317 0.183 0.500
Pb3 0.683 0.817 0.500
Pb4 0.817 0.317 0.500


Which of them is the most stable, and which is the least stable? run B and run A, in that order.